! MgSc2HgSb GGA-PBEsol optimized geometry; values from VASP
&SYSTEM
  ibrav = 0, nat = 5, ntyp = 4
/
ATOMIC_SPECIES
Sc 44.96 Sc.upf
Mg 24.30 Mg.upf
Sb 121.76 Sb.upf
Hg 200.59 Hg.upf
CELL_PARAMETERS angstrom
5.243 0.000 0.000
0.000 5.243 0.000
0.000 0.000 5.501
ATOMIC_POSITIONS crystal
Sc 0.000 0.500 0.000
Sc 0.500 0.000 0.000
Mg 0.500 0.500 0.500
Sb 0.000 0.000 0.500
Hg 0.000 0.000 0.000
! Raw formation energy   0.40 eV per atom